Np2SnRh5Au | Alexandria | PBE-GGA | relaxed; space group = I4/mcm (140); mass density = 13.32 g cm⁻³
1.0
-3.120 -4.456 4.485
-2.014 -4.041 -5.416
8.127 0.837 0.943
Rh Sn Np Au
10 2 4 2
Cartesian
2.702 -4.549 -0.083 Rh
-2.567 -4.248 -0.465 Rh
5.226 -0.317 0.765 Rh
0.291 -3.111 0.096 Rh
-2.234 -7.344 -0.752 Rh
0.000 0.000 0.000 Rh
-0.596 -4.959 -2.785 Rh
3.589 -2.701 2.798 Rh
4.340 -2.165 -2.116 Rh
-1.347 -5.496 2.129 Rh
2.780 -1.706 0.239 Sn
0.213 -5.954 -0.226 Sn
-2.967 -5.264 -3.063 Np
-1.138 -2.069 -1.537 Np
-3.996 -6.427 0.607 Np
-2.167 -3.233 2.133 Np
1.220 -3.934 2.482 Au
1.773 -3.726 -2.469 Au

***

NpURhAu | Alexandria | PBE-GGA | relaxed; space group = F-43m (216); mass density = 17.07 g cm⁻³
1.0
4.742 0.000 0.000
2.371 4.106 0.000
2.371 1.369 3.871
U Rh Au Np
1 1 1 1
Cartesian
2.371 1.369 0.968 U
4.742 2.738 1.936 Rh
7.112 4.106 2.904 Au
0.000 0.000 0.000 Np

***

Np2RuAu | Alexandria | PBE-GGA | relaxed; space group = R-3m (166); mass density = 16.50 g cm⁻³
1.0
2.856 0.000 0.000
1.428 2.473 0.000
1.428 0.824 10.998
Np Au Ru
2 1 1
Cartesian
1.428 0.824 7.912 Np
4.284 2.473 3.086 Np
0.000 0.000 0.000 Au
2.856 1.649 5.499 Ru

***

NpRu2Au | Alexandria | PBE-GGA | relaxed; space group = P4/mmm (123); mass density = 15.49 g cm⁻³
1.0
-1.983 -3.039 -0.950
-0.364 -1.049 4.116
-3.601 2.268 0.260
Ru Au Np
2 1 1
Cartesian
-0.182 -0.524 2.058 Ru
-1.801 1.134 0.130 Ru
-2.974 -0.910 1.713 Au
-0.991 -1.520 -0.475 Np

***

Values for final energy, eV/atom, ordered as above
-7.8533; -9.0640; -9.3492; -8.7501
Values for formation energy, eV per atom, ordered as above
-0.08; -0.35; 0.26; -0.06